Entry 1:
! TbNdHoAl (PBE, optimized geometry); values from VASP
&SYSTEM
  ibrav = 0, nat = 4, ntyp = 4
/
ATOMIC_SPECIES
Tb 158.93 Tb.upf
Nd 144.24 Nd.upf
Ho 164.93 Ho.upf
Al 26.98 Al.upf
CELL_PARAMETERS angstrom
3.539 0.000 0.000
0.000 3.539 0.000
0.000 0.000 9.112
ATOMIC_POSITIONS crystal
Tb 0.500 0.500 0.780
Nd 0.000 0.000 0.074
Ho 0.500 0.500 0.362
Al 0.000 0.000 0.569
! - Formation energy from the elements: -0.1921 eV/atom
! - SG: P4mm, No. 99

***

Entry 2:
! BaSO3 (PBE, optimized geometry); values from VASP
&SYSTEM
  ibrav = 0, nat = 10, ntyp = 3
/
ATOMIC_SPECIES
Ba 137.33 Ba.upf
S 32.06 S.upf
O 16.00 O.upf
CELL_PARAMETERS angstrom
-4.677 -2.945 -0.712
2.384 -3.986 0.829
-0.320 -1.112 6.700
ATOMIC_POSITIONS crystal
Ba 0.250 0.655 0.725
Ba 0.750 0.345 0.275
S 0.250 0.924 0.177
S 0.750 0.076 0.823
O 0.750 0.734 0.873
O 0.469 0.823 0.320
O 0.031 0.823 0.320
O 0.969 0.177 0.680
O 0.531 0.177 0.680
O 0.250 0.266 0.127
! - SG: P2_1/m, No. 11
! - Formation energy without anion corrections: -2.179 eV/atom

***

Entry 3:
! YAgAsBr2 (PBE, optimized geometry); values from VASP
&SYSTEM
  ibrav = 0, nat = 5, ntyp = 4
/
ATOMIC_SPECIES
Y 88.91 Y.upf
As 74.92 As.upf
Br 79.90 Br.upf
Ag 107.87 Ag.upf
CELL_PARAMETERS angstrom
5.476 0.000 0.000
0.000 5.476 0.000
0.000 0.000 5.823
ATOMIC_POSITIONS crystal
Y 0.000 0.000 0.000
As 0.000 0.000 0.500
Br 0.000 0.500 0.000
Br 0.500 0.000 0.000
Ag 0.500 0.500 0.500
! - SG: P4/mmm, No. 123
! - Formation energy without anion corrections: -0.427 eV/atom

***

Entry 4:
! Er4AlAg2Au (PBE, optimized geometry); values from VASP
&SYSTEM
  ibrav = 0, nat = 8, ntyp = 4
/
ATOMIC_SPECIES
Er 167.26 Er.upf
Al 26.98 Al.upf
Ag 107.87 Ag.upf
Au 196.97 Au.upf
CELL_PARAMETERS angstrom
-4.549 0.438 2.203
-0.436 -0.460 5.033
-0.461 8.183 3.264
ATOMIC_POSITIONS crystal
Er 0.378 0.378 0.867
Er 0.873 0.873 0.381
Er 0.127 0.127 0.619
Er 0.622 0.622 0.133
Al 0.000 0.000 0.000
Ag 0.743 0.743 0.770
Ag 0.257 0.257 0.230
Au 0.500 0.500 0.500
! - Formation energy from the elements: -0.4889 eV/atom
! - SG: R-3m, No. 166

***

Entry 5:
! DyTm2Mg (PBE, optimized geometry); values from VASP
&SYSTEM
  ibrav = 0, nat = 4, ntyp = 3
/
ATOMIC_SPECIES
Mg 24.30 Mg.upf
Tm 168.93 Tm.upf
Dy 162.50 Dy.upf
CELL_PARAMETERS angstrom
-5.142 1.809 -0.032
-2.663 0.558 -4.723
-4.076 -3.397 -1.249
ATOMIC_POSITIONS crystal
Mg 0.500 0.500 0.500
Tm 0.250 0.250 0.250
Tm 0.750 0.750 0.750
Dy 0.000 0.000 0.000
! - Formation energy from the elements: 0.0759 eV/atom
! - SG: Fm-3m, No. 225

***

Entry 6:
! LaSbPb2 (PBE, optimized geometry); values from VASP
&SYSTEM
  ibrav = 0, nat = 4, ntyp = 3
/
ATOMIC_SPECIES
La 138.91 La.upf
Pb 207.20 Pb.upf
Sb 121.76 Sb.upf
CELL_PARAMETERS angstrom
4.309 0.000 0.000
0.000 4.309 0.000
0.000 0.000 6.629
ATOMIC_POSITIONS crystal
La 0.500 0.500 0.750
Pb 0.000 0.000 0.009
Pb 0.000 0.000 0.491
Sb 0.500 0.500 0.250
! - SG: P4/mmm, No. 123
! - Formation energy without anion corrections: -0.303 eV/atom

***

Entry 7:
! ZrTi2H2 (PBE, optimized geometry); values from VASP
&SYSTEM
  ibrav = 0, nat = 5, ntyp = 3
/
ATOMIC_SPECIES
H 1.01 H.upf
Zr 91.22 Zr.upf
Ti 47.87 Ti.upf
CELL_PARAMETERS angstrom
-3.056 -0.705 -1.222
0.633 -3.291 0.313
-3.235 -1.910 4.558
ATOMIC_POSITIONS crystal
H 0.750 0.250 0.500
H 0.250 0.750 0.500
Zr 0.000 0.000 0.000
Ti 0.333 0.333 0.334
Ti 0.667 0.667 0.666
! - SG: I4/mmm, No. 139
! - Energy: -32.089 eV per cell

***

Entry 8:
! CaTmCd2Hg4 (PBE, optimized geometry); values from VASP
&SYSTEM
  ibrav = 0, nat = 8, ntyp = 4
/
ATOMIC_SPECIES
Ca 40.08 Ca.upf
Tm 168.93 Tm.upf
Cd 112.41 Cd.upf
Hg 200.59 Hg.upf
CELL_PARAMETERS angstrom
5.074 0.000 0.000
2.537 4.394 0.000
2.537 1.465 8.454
ATOMIC_POSITIONS crystal
Ca 0.000 0.000 0.000
Tm 0.500 0.500 0.500
Cd 0.750 0.750 0.750
Cd 0.250 0.250 0.250
Hg 0.378 0.378 0.866
Hg 0.874 0.874 0.379
Hg 0.126 0.126 0.621
Hg 0.622 0.622 0.134
! - Formation energy from the elements: -0.3470 eV/atom
! - SG: R-3m, No. 166

***

Entry 9:
! BAu (PBE, optimized geometry); values from VASP
&SYSTEM
  ibrav = 0, nat = 12, ntyp = 2
/
ATOMIC_SPECIES
B 10.81 B.upf
Au 196.97 Au.upf
CELL_PARAMETERS angstrom
-0.319 -1.240 5.971
5.210 -3.164 -0.379
3.170 5.074 1.223
ATOMIC_POSITIONS crystal
B 0.250 0.000 0.500
B 0.750 0.000 0.500
B 0.000 0.500 0.250
B 0.000 0.500 0.750
B 0.500 0.250 0.000
B 0.500 0.750 0.000
Au 0.250 0.500 0.000
Au 0.750 0.500 0.000
Au 0.500 0.000 0.250
Au 0.500 0.000 0.750
Au 0.000 0.250 0.500
Au 0.000 0.750 0.500
! - Formation energy from the elements: 0.9073 eV/atom
! - SG: Pm-3n, No. 223

***

Entry 10:
! ErGa6Tc (PBE, optimized geometry); values from VASP
&SYSTEM
  ibrav = 0, nat = 8, ntyp = 3
/
ATOMIC_SPECIES
Er 167.26 Er.upf
Ga 69.72 Ga.upf
Tc 98.00 Tc.upf
CELL_PARAMETERS angstrom
0.964 5.305 -2.060
-5.562 -0.293 1.515
-0.820 3.723 4.334
ATOMIC_POSITIONS crystal
Er 0.500 0.500 0.500
Ga 0.156 0.719 0.281
Ga 0.719 0.156 0.281
Ga 0.281 0.844 0.719
Ga 0.844 0.281 0.719
Ga 0.281 0.281 0.156
Ga 0.719 0.719 0.844
Tc 0.000 0.000 0.000
! - Formation energy from the elements: -0.1963 eV/atom
! - SG: R-3m, No. 166

***

Entry 11:
! NaNiBS2 (PBE, optimized geometry); values from VASP
&SYSTEM
  ibrav = 0, nat = 5, ntyp = 4
/
ATOMIC_SPECIES
Ni 58.69 Ni.upf
S 32.06 S.upf
B 10.81 B.upf
Na 22.99 Na.upf
CELL_PARAMETERS angstrom
4.386 0.000 0.000
0.000 4.845 0.000
0.000 0.000 4.386
ATOMIC_POSITIONS crystal
Ni 0.000 0.000 0.000
S 0.000 0.000 0.500
S 0.500 0.000 0.000
B 0.500 0.500 0.500
Na 0.000 0.500 0.000
! - SG: P4/mmm, No. 123
! - Formation energy without anion corrections: 0.872 eV/atom

***

Entry 12:
! NbCr3Rh6 (PBE, optimized geometry); values from VASP
&SYSTEM
  ibrav = 0, nat = 20, ntyp = 3
/
ATOMIC_SPECIES
Nb 92.91 Nb.upf
Cr 52.00 Cr.upf
Rh 102.91 Rh.upf
CELL_PARAMETERS angstrom
-2.707 2.445 -1.262
-1.387 -4.988 -6.689
-5.956 -4.179 4.679
ATOMIC_POSITIONS crystal
Nb 0.250 0.935 0.617
Nb 0.750 0.065 0.383
Cr 0.250 0.556 0.393
Cr 0.750 0.444 0.607
Cr 0.250 0.345 0.808
Cr 0.750 0.655 0.192
Cr 0.250 0.746 0.001
Cr 0.750 0.254 0.999
Rh 0.250 0.458 0.101
Rh 0.750 0.542 0.899
Rh 0.250 0.156 0.202
Rh 0.750 0.844 0.798
Rh 0.250 0.627 0.693
Rh 0.750 0.373 0.307
Rh 0.250 0.262 0.506
Rh 0.750 0.738 0.494
Rh 0.250 0.847 0.297
Rh 0.750 0.153 0.703
Rh 0.250 0.058 0.904
Rh 0.750 0.942 0.096
! - Formation energy from the elements: -0.1816 eV/atom
! - SG: P2_1/m, No. 11